# Na3NiC2O6 | the Alexandria database | PBE+U | optimized geometry
# E_tot, eV per atom: -5.91
# Total moment, μB/cell: 1.195
# DOS at the Fermi energy, states/eV per cell: 2.41
data_Na3NiC2O6
_space_group_name_H-M_alt 'P -3 m 1'
_space_group_IT_number 164
_space_group_name_Hall '-P 3 2"'
_cell_length_a 5.1314
_cell_length_b 5.1314
_cell_length_c 6.2298
_cell_angle_alpha 90.00
_cell_angle_beta 90.00
_cell_angle_gamma 120.00
loop_
_atom_site_label
_atom_site_fract_x
_atom_site_fract_y
_atom_site_fract_z
Na1 0.0000 0.0000 0.0000
Na2 0.3333 0.6667 0.7254
Ni1 0.0000 0.0000 0.5000
C1 0.3333 0.6667 0.2624
O1 0.1859 0.3718 0.2672